Compound: GaNi2SnSb
Source: the Alexandria database
Functional: PBE
Structure: relaxed

abc: 4.498 4.498 5.290
angles: 90.00 90.00 90.00
Space group P4/mmm (No. 123)
One atom of each set of equivalent atoms:
Ga 0.000 0.000 0.000 [1 per cell]
Ni 0.000 0.500 0.000 [2 per cell]
Sn 0.000 0.000 0.500 [1 per cell]
Sb 0.500 0.500 0.500 [1 per cell]

## Properties
The calculation puts the energy relative to the elements, uncorrected at 0.58 eV per atom.



Compound: Ti2GaNiSb
Source: the Alexandria database
Functional: PBE
Structure: relaxed

abc: 4.645 4.645 4.396
angles: 90.00 90.00 90.00
Space group P4/mmm (No. 123)
One atom of each set of equivalent atoms:
Ti 0.000 0.500 0.000 [2 per cell]
Ga 0.000 0.000 0.500 [1 per cell]
Ni 0.000 0.000 0.000 [1 per cell]
Sb 0.500 0.500 0.500 [1 per cell]

## Properties
The calculation puts the energy relative to the elements, uncorrected at -0.04 eV per atom.



Compound: Ti2GaNi7Sb2
Source: the Alexandria database
Functional: PBE
Structure: relaxed

abc: 4.872 4.872 14.894
angles: 90.00 99.40 90.00
Space group C2/m (No. 12)
One atom of each set of equivalent atoms:
Ti 0.125 0.000 0.251 [4 per cell]
Ga 0.000 0.500 0.000 [2 per cell]
Ni 0.000 0.000 0.000 [2 per cell]
Ni 0.185 0.250 0.868 [8 per cell]
Ni 0.225 0.000 0.452 [4 per cell]
Sb 0.186 0.500 0.375 [4 per cell]

## Properties
The calculation puts the energy relative to the elements, uncorrected at -0.13 eV per atom.



Compound: TlGa2NiSb
Source: the Alexandria database
Functional: PBE
Structure: relaxed

abc: 4.674 4.674 5.255
angles: 90.00 90.00 90.00
Space group P4/mmm (No. 123)
One atom of each set of equivalent atoms:
Tl 0.000 0.000 0.000 [1 per cell]
Ga 0.000 0.500 0.500 [2 per cell]
Ni 0.500 0.500 0.500 [1 per cell]
Sb 0.500 0.500 0.000 [1 per cell]

## Properties
The calculation puts the energy relative to the elements, uncorrected at -0.01 eV per atom.



Compound: ZrGaNiSb2
Source: the Alexandria database
Functional: PBE
Structure: relaxed

abc: 5.102 5.102 4.334
angles: 90.00 90.00 90.00
Space group P4/mmm (No. 123)
One atom of each set of equivalent atoms:
Zr 0.000 0.000 0.000 [1 per cell]
Ga 0.500 0.500 0.000 [1 per cell]
Ni 0.500 0.500 0.500 [1 per cell]
Sb 0.000 0.500 0.500 [2 per cell]

## Properties
The calculation puts the energy relative to the elements, uncorrected at 0.14 eV per atom.



Compound: Sc6GaNi2
Source: the Alexandria database
Functional: PBE
Structure: relaxed

abc: 8.740 8.822 9.242
angles: 90.00 90.00 90.00
Space group Immm (No. 71)
One atom of each set of equivalent atoms:
Sc 0.000 0.201 0.237 [8 per cell]
Sc 0.203 0.500 0.174 [8 per cell]
Sc 0.218 0.317 0.500 [8 per cell]
Ga 0.000 0.000 0.000 [2 per cell]
Ga 0.000 0.000 0.500 [2 per cell]
Ni 0.000 0.351 0.000 [4 per cell]
Ni 0.000 0.500 0.372 [4 per cell]

## Properties
The formation energy comes out at -0.42 eV per atom.



| no. | density of states at the Fermi level (states/eV per cell) |
| --- | --- |
| 1 | 2.80 |
| 2 | 3.50 |
| 3 | 20.02 |
| 4 | 3.39 |
| 5 | 3.62 |
| 6 | 33.13 |